The following is a DFT calculation (PBE) of an optimized crystal structure of Tl2Cu2SbCl6.

Values from the calculation:
Mass density in kg/m3: 4651
Fermi-level density of states in states/eV/cell: 4.04
Crystal system: monoclinic
VASP energy in Ha/atom: -0.1182

Lattice parameters (Å, degrees): 7.762 7.762 6.423 99.65 99.65 54.86
Atoms (fractional coordinates):
Tl (0.218, 0.218, 0.236)
Tl (0.782, 0.782, 0.764)
Cu (0.470, 0.470, 0.779)
Cu (0.530, 0.530, 0.221)
Sb (0.000, 0.000, 0.500)
Cl (0.179, 0.664, 0.218)
Cl (0.309, 0.309, 0.712)
Cl (0.336, 0.821, 0.782)
Cl (0.664, 0.179, 0.218)
Cl (0.691, 0.691, 0.288)
Cl (0.821, 0.336, 0.782)